{
  "formula": "La2Y7In2",
  "functional": "PBE",
  "state": "optimized geometry",
  "e_tot_ev_per_atom": -5.548,
  "formation_energy_mev_per_atom": -40,
  "space_group": "C2/m, No. 12",
  "n_ef_per_ev_atom": 1.50,
  "vol_a3_per_cell": 352.0,
  "lattice_angstrom": [[4.517, -4.733, 0.000], [4.517, 4.733, 0.000], [-2.353, 0.000, 8.233]],
  "species": ["La", "La", "Y", "Y", "Y", "Y", "Y", "Y", "Y", "In", "In"],
  "frac_coords": [[0.181, 0.819, 0.000], [0.819, 0.181, 0.000], [0.000, 0.000, 0.500], [0.125, 0.517, 0.337], [0.308, 0.308, 0.981], [0.483, 0.875, 0.663], [0.517, 0.125, 0.337], [0.692, 0.692, 0.019], [0.875, 0.483, 0.663], [0.380, 0.380, 0.657], [0.620, 0.620, 0.343]]
}